Material: Zn2Re
Method: DFT, PBE
State: relaxed

Cell lengths 7.7190, 7.7190, 2.5916 Å; angles 90.00, 90.00, 120.00 degrees
With the nearest neighbours (Å) after each atom.
Fractional coordinates of all 9 atoms:
Zn  0.0000  0.3032  0.0000  4 Zn 2.59-2.84, 4 Re 2.68-2.70
Zn  0.0000  0.6300  0.5000  4 Zn 2.59-2.84, 5 Re 2.77-2.86
Zn  0.3032  0.0000  0.0000  4 Zn 2.59-2.84, 4 Re 2.68-2.70
Zn  0.3700  0.3700  0.5000  4 Zn 2.59-2.84, 5 Re 2.77-2.86
Zn  0.6300  0.0000  0.5000  4 Zn 2.59-2.84, 5 Re 2.77-2.86
Zn  0.6968  0.6968  0.0000  4 Zn 2.59-2.84, 4 Re 2.68-2.70
Re  0.0000  0.0000  0.5000  2 Re 2.59, 9 Zn 2.68-2.86
Re  0.3333  0.6667  0.0000  2 Re 2.59, 9 Zn 2.70-2.77
Re  0.6667  0.3333  0.0000  2 Re 2.59, 9 Zn 2.70-2.77

E_tot in eV per atom: -4.620
Symmetry: No. 189
Polymorph energy (0 for the lowest one) in meV per atom: 223
Volume in A^3/atom: 14.859
Total magnetization in μB/cell: 0.0
DFT formation energy in eV per atom: 0.3791